Record 1
First-principles (GGA-PBE) data for crystalline LaHgP2 at its relaxed geometry, as listed in the Alexandria database.

Geometry as extended XYZ:
```
4
Lattice="-2.076 2.076 5.182 2.076 -2.076 5.182 2.076 2.076 -5.182" Properties=species:S:1:pos:R:3 pbc="T T T"
La 0.000 0.000 0.000
Hg 0.000 2.076 2.591
P 2.076 0.000 2.591
P 0.000 0.000 5.182
```

Calculated values
Energy of formation in eV/atom: -0.382



Record 2
First-principles (GGA-PBE) data for crystalline SrNbMo2Pd at its relaxed geometry, as listed in the Alexandria database.

Geometry as extended XYZ:
```
5
Lattice="4.828 0.000 0.000 0.000 4.828 0.000 0.000 0.000 5.188" Properties=species:S:1:pos:R:3 pbc="T T T"
Sr 0.000 0.000 0.000
Nb 2.414 2.414 2.594
Mo 0.000 2.414 2.594
Mo 2.414 0.000 2.594
Pd 2.414 2.414 0.000
```

Calculated values
Energy of formation in eV/atom: 1.000



Record 3
First-principles (GGA-PBE) data for crystalline HoAg2Pd8 at its relaxed geometry, as listed in the Alexandria database.

Geometry as extended XYZ:
```
11
Lattice="4.109 -5.415 0.000 4.109 5.415 0.000 0.000 0.000 4.368" Properties=species:S:1:pos:R:3 pbc="T T T"
Ho 0.000 0.000 0.000
Ag 4.109 1.321 2.184
Ag 4.109 -1.321 2.184
Pd 1.396 1.457 2.184
Pd 4.109 2.736 0.000
Pd 1.396 -1.457 2.184
Pd 2.733 0.000 0.000
Pd 5.484 0.000 0.000
Pd 6.822 1.457 2.184
Pd 4.109 -2.736 0.000
Pd 6.822 -1.457 2.184
```

Calculated values
ΔE to the lowest computed polymorph in eV per formula unit: 2.322
Energy of formation in eV/atom: -0.122



Record 4
First-principles (GGA-PBE) data for crystalline Nd4NpRu4 at its relaxed geometry, as listed in the Alexandria database.

Geometry as extended XYZ:
```
18
Lattice="8.632 0.000 0.000 0.000 8.632 0.000 0.000 0.000 5.976" Properties=species:S:1:pos:R:3 pbc="T T T"
Nd 0.416 5.871 0.818
Nd 1.555 8.215 3.806
Nd 2.761 4.732 3.806
Nd 3.899 7.077 0.818
Nd 4.732 1.555 5.158
Nd 5.871 3.899 2.170
Nd 7.077 0.416 2.170
Nd 8.215 2.761 5.158
Np 2.158 2.158 1.494
Np 6.474 6.474 4.482
Ru 0.142 3.147 2.202
Ru 1.169 0.142 0.786
Ru 3.147 4.174 0.786
Ru 4.174 1.169 2.202
Ru 4.458 7.463 3.774
Ru 5.485 4.458 5.190
Ru 7.463 8.490 5.190
Ru 8.490 5.485 3.774
```

Calculated values
Energy of formation in eV/atom: -0.112



Record 5
First-principles (GGA-PBE) data for crystalline PuTl3Pd2S6 at its relaxed geometry, as listed in the Alexandria database.

Geometry as extended XYZ:
```
12
Lattice="3.185 -5.511 0.000 3.185 5.511 0.000 -2.092 0.000 7.755" Properties=species:S:1:pos:R:3 pbc="T T T"
Pu 0.000 0.000 0.000
Tl 2.139 3.712 3.877
Tl 2.139 0.000 3.877
Tl 2.139 -3.712 3.877
Pd 3.185 1.838 0.000
Pd 3.185 -1.838 0.000
S 1.142 1.982 1.434
S 0.191 0.000 6.342
S 1.142 -1.982 1.434
S 3.136 1.982 6.321
S 4.087 0.000 1.413
S 3.136 -1.982 6.321
```



Record 6
First-principles (GGA-PBE) data for crystalline NaIn2Se at its relaxed geometry, as listed in the Alexandria database.

Geometry as extended XYZ:
```
4
Lattice="1.940 1.120 9.925 -1.940 1.120 9.925 0.000 -2.240 9.925" Properties=species:S:1:pos:R:3 pbc="T T T"
Na 0.000 0.000 0.000
In 0.000 0.000 3.091
In 0.000 0.000 26.684
Se 0.000 0.000 14.888
```



Record 7
First-principles (GGA-PBE) data for crystalline Pm2Sn2Hg at its relaxed geometry, as listed in the Alexandria database.

Geometry as extended XYZ:
```
10
Lattice="2.374 -8.593 0.000 2.374 8.593 0.000 0.000 0.000 7.160" Properties=species:S:1:pos:R:3 pbc="T T T"
Pm 2.374 8.353 3.580
Pm 2.374 5.149 5.866
Pm 2.374 -5.149 2.286
Pm 2.374 -8.353 0.000
Sn 2.374 5.514 2.158
Sn 2.374 1.278 1.887
Sn 2.374 -1.278 5.467
Sn 2.374 -5.514 5.738
Hg 2.374 1.709 4.832
Hg 2.374 -1.709 1.252
```

Calculated values
ΔE to the lowest computed polymorph in eV per formula unit: 0.284
Energy of formation in eV/atom: -0.562



Record 8
First-principles (GGA-PBE) data for crystalline CsSrBr3 at its relaxed geometry, as listed in the Alexandria database.

Geometry as extended XYZ:
```
20
Lattice="0.000 7.807 7.807 7.807 0.000 7.807 7.807 7.807 0.000" Properties=species:S:1:pos:R:3 pbc="T T T"
Cs 0.000 0.000 0.000
Cs 3.903 3.903 0.000
Cs 3.903 0.000 3.903
Cs 0.000 3.903 3.903
Sr 7.807 3.903 3.903
Sr 3.903 7.807 3.903
Sr 3.903 3.903 7.807
Sr 7.807 7.807 7.807
Br 5.855 5.855 2.552
Br 5.855 2.552 5.855
Br 9.159 5.855 5.855
Br 9.759 9.759 6.455
Br 9.759 6.455 9.759
Br 13.062 9.759 9.759
Br 2.552 5.855 5.855
Br 5.855 9.159 5.855
Br 5.855 5.855 9.159
Br 6.455 9.759 9.759
Br 9.759 13.062 9.759
Br 9.759 9.759 13.062
```



Record 9
First-principles (GGA-PBE) data for crystalline La2Pr3Er3 at its relaxed geometry, as listed in the Alexandria database.

Geometry as extended XYZ:
```
8
Lattice="-2.565 2.592 10.302 2.565 -2.592 10.302 2.565 2.592 -10.302" Properties=species:S:1:pos:R:3 pbc="T T T"
La 0.000 0.000 5.151
La 0.000 0.000 15.453
Pr 0.000 0.000 0.000
Pr 2.565 0.000 7.783
Pr 0.000 2.592 2.519
Er 2.565 0.000 2.530
Er 0.000 0.000 10.302
Er 0.000 2.592 7.773
```

Calculated values
ΔE to the lowest computed polymorph in eV per formula unit: 0.000
Energy of formation in eV/atom: 0.021



Values of raw total energy, in order: -0.1615, -0.2470, -0.1776, -0.2863, -0.1929, -0.1010, -0.1515, -0.1274, -0.1732, all in hartree per atom.